[1]
An optimized crystal structure of InFeW, computed with GGA-PBE.

a b c (Å): 4.3520 4.3520 4.3520
angles (deg): 60.00 60.00 60.00
Fractional coordinates of all 3 atoms:
In 0.0000 0.0000 0.0000
Fe 0.5000 0.5000 0.5000
W 0.2500 0.2500 0.2500

Output
Its relative energy among the computed polymorphs is 2.39 eV/f.u. Its space group is F-43m.

[2]
An optimized crystal structure of InFeW, computed with GGA-PBE.

a b c (Å): 4.1937 4.1937 4.1937
angles (deg): 60.00 60.00 60.00
Fractional coordinates of all 3 atoms:
In 0.0000 0.0000 0.0000
Fe 0.7500 0.7500 0.7500
W 0.5000 0.5000 0.5000

Output
Its relative energy among the computed polymorphs is 0.62 eV/f.u. Its space group is F-43m.

[3]
An optimized crystal structure of In2FeW, computed with GGA-PBE.

a b c (Å): 4.6334 4.6334 4.6334
angles (deg): 60.00 60.00 60.00
Fractional coordinates of all 4 atoms:
In 0.2500 0.2500 0.2500
In 0.7500 0.7500 0.7500
Fe 0.0000 0.0000 0.0000
W 0.5000 0.5000 0.5000

Output
Its relative energy among the computed polymorphs is 1.70 eV/f.u. Its space group is Fm-3m.

[4]
An optimized crystal structure of InFeW2, computed with GGA-PBE.

a b c (Å): 5.7881 5.7881 5.7881
angles (deg): 101.63 101.63 126.64
Fractional coordinates of all 8 atoms:
In 0.0000 0.0000 0.0000
In 0.7500 0.2500 0.5000
Fe 0.2500 0.7500 0.5000
Fe 0.5000 0.5000 0.0000
W 0.1923 0.6250 0.0673
W 0.3750 0.4423 0.5673
W 0.5577 0.1250 0.9327
W 0.8750 0.8077 0.4327

Output
Its space group is I-42d.

[5]
An optimized crystal structure of In2FeW, computed with GGA-PBE.

a b c (Å): 5.2480 5.2480 5.2480
angles (deg): 134.97 134.97 65.58
Fractional coordinates of all 4 atoms:
In 0.0000 0.0000 0.0000
In 0.7500 0.2500 0.5000
Fe 0.5000 0.5000 0.0000
W 0.2500 0.7500 0.5000

Output
Its relative energy among the computed polymorphs is 1.26 eV/f.u. Its space group is I-4m2.

[6]
An optimized crystal structure of InFeW2, computed with GGA-PBE.

a b c (Å): 9.1413 9.1413 9.1413
angles (deg): 18.26 18.26 18.26
Fractional coordinates of all 4 atoms:
In 0.0000 0.0000 0.0000
Fe 0.2499 0.2499 0.2499
W 0.5134 0.5134 0.5134
W 0.7598 0.7598 0.7598

Output
Its space group is R3m.

[7]
An optimized crystal structure of YIn3Fe, computed with GGA-PBE.

a b c (Å): 4.9491 4.9491 4.9491
angles (deg): 90.00 90.00 90.00
Fractional coordinates of all 5 atoms:
Y 0.0000 0.0000 0.0000
In 0.0000 0.5000 0.5000
In 0.5000 0.0000 0.5000
In 0.5000 0.5000 0.0000
Fe 0.5000 0.5000 0.5000

Output
Its relative energy among the computed polymorphs is 0.00 eV/f.u. Its space group is Pm-3m.

[8]
An optimized crystal structure of YInFe2, computed with GGA-PBE.

a b c (Å): 3.1977 3.1977 7.2053
angles (deg): 90.00 90.00 90.00
Fractional coordinates of all 4 atoms:
Y 0.0000 0.0000 0.0000
In 0.5000 0.5000 0.6571
Fe 0.0000 0.0000 0.4190
Fe 0.5000 0.5000 0.2674

Output
Its space group is P4mm.

| no. | energy (Ha/atom) | energy of formation from the pure elements (meV/atom) |
| --- | --- | --- |
| 1 | -0.25516 | 1108 |
| 2 | -0.27679 | 520 |
| 3 | -0.21992 | 739 |
| 4 | -0.31031 | 833 |
| 5 | -0.22396 | 629 |
| 6 | -0.32293 | 489 |
| 7 | -0.16921 | 24 |
| 8 | -0.23979 | 7 |